# TcP2

TcP2 after structural relaxation (PBE, Alexandria via LeMat-Bulk).

Computed properties:
* formation energy: -177 meV/atom
* mass density: 6.496 g/cm³
* SG: P-62m
* offset from the most stable computed form: 0.215 eV/atom

```
TcP2
1.0
6.844 0.000 0.000
-3.422 5.927 0.000
0.000 0.000 3.024
Tc P
3 6
Direct
0.000 0.000 0.000 Tc
0.333 0.667 0.500 Tc
0.667 0.333 0.500 Tc
0.000 0.285 0.500 P
0.000 0.614 0.000 P
0.285 0.000 0.500 P
0.386 0.386 0.000 P
0.614 0.000 0.000 P
0.715 0.715 0.500 P
```



# TcP

TcP after structural relaxation (PBE, Alexandria via LeMat-Bulk).

Computed properties:
* formation energy: -158 meV/atom
* mass density: 6.292 g/cm³
* SG: P2_1/m
* offset from the most stable computed form: 0.411 eV/atom

```
TcP
1.0
4.386 0.000 0.000
0.000 3.070 0.000
-2.166 0.000 5.056
Tc P
2 2
Direct
0.210 0.250 0.419 Tc
0.790 0.750 0.581 Tc
0.384 0.750 0.772 P
0.616 0.250 0.228 P
```



# TcP4

TcP4 after structural relaxation (PBE, Alexandria via LeMat-Bulk).

Computed properties:
* formation energy: -410 meV/atom
* mass density: 4.644 g/cm³
* SG: Pbca
* offset from the most stable computed form: 0.000 eV/atom

```
TcP4
1.0
6.275 0.000 0.000
0.000 9.271 0.000
0.000 0.000 10.910
Tc P
8 32
Direct
0.121 0.109 0.075 Tc
0.121 0.391 0.575 Tc
0.379 0.609 0.075 Tc
0.379 0.891 0.575 Tc
0.621 0.109 0.425 Tc
0.621 0.391 0.925 Tc
0.879 0.609 0.425 Tc
0.879 0.891 0.925 Tc
0.000 0.208 0.431 P
0.000 0.292 0.931 P
0.000 0.708 0.069 P
0.000 0.792 0.569 P
0.060 0.218 0.736 P
0.060 0.282 0.236 P
0.190 0.553 0.738 P
0.190 0.947 0.238 P
0.243 0.544 0.419 P
0.243 0.956 0.919 P
0.257 0.044 0.419 P
0.257 0.456 0.919 P
0.310 0.053 0.738 P
0.310 0.447 0.238 P
0.440 0.718 0.736 P
0.440 0.782 0.236 P
0.500 0.208 0.069 P
0.500 0.292 0.569 P
0.500 0.708 0.431 P
0.500 0.792 0.931 P
0.560 0.218 0.764 P
0.560 0.282 0.264 P
0.690 0.553 0.762 P
0.690 0.947 0.262 P
0.743 0.544 0.081 P
0.743 0.956 0.581 P
0.757 0.044 0.081 P
0.757 0.456 0.581 P
0.810 0.053 0.762 P
0.810 0.447 0.262 P
0.940 0.718 0.764 P
0.940 0.782 0.264 P
```



# TcP

TcP after structural relaxation (PBE, Alexandria via LeMat-Bulk).

Computed properties:
* formation energy: -242 meV/atom
* mass density: 5.915 g/cm³
* SG: P6_3/m
* offset from the most stable computed form: 0.326 eV/atom

```
TcP
1.0
9.040 0.000 0.000
-4.520 7.829 0.000
0.000 0.000 3.069
Tc P
6 6
Direct
0.127 0.640 0.250 Tc
0.360 0.487 0.250 Tc
0.487 0.127 0.750 Tc
0.513 0.873 0.250 Tc
0.640 0.513 0.750 Tc
0.873 0.360 0.750 Tc
0.058 0.351 0.250 P
0.293 0.942 0.250 P
0.351 0.293 0.750 P
0.649 0.707 0.250 P
0.707 0.058 0.750 P
0.942 0.649 0.750 P
```



# TcP

TcP after structural relaxation (PBE, Alexandria via LeMat-Bulk).

Computed properties:
* formation energy: -178 meV/atom
* mass density: 5.524 g/cm³
* SG: I4/m
* offset from the most stable computed form: 0.391 eV/atom

```
TcP
1.0
-4.376 4.376 2.024
4.376 -4.376 2.024
4.376 4.376 -2.024
Tc P
4 4
Direct
0.146 0.670 0.816 Tc
0.330 0.146 0.477 Tc
0.670 0.854 0.523 Tc
0.854 0.330 0.184 Tc
0.094 0.250 0.343 P
0.250 0.906 0.156 P
0.750 0.094 0.844 P
0.906 0.750 0.657 P
```



# TcP

TcP after structural relaxation (PBE, Alexandria via LeMat-Bulk).

Computed properties:
* formation energy: -425 meV/atom
* mass density: 7.204 g/cm³
* SG: Amm2
* offset from the most stable computed form: 0.144 eV/atom

```
TcP
1.0
3.040 0.000 0.000
0.000 1.532 6.382
0.000 -1.532 6.382
Tc P
2 2
Direct
0.000 0.000 0.000 Tc
0.500 0.217 0.217 Tc
0.000 0.814 0.814 P
0.500 0.570 0.570 P
```



# TcP2

TcP2 after structural relaxation (PBE, Alexandria via LeMat-Bulk).

Computed properties:
* formation energy: -14 meV/atom
* mass density: 5.648 g/cm³
* SG: Fm-3m
* offset from the most stable computed form: 0.378 eV/atom

```
TcP2
1.0
0.000 2.865 2.865
2.865 0.000 2.865
2.865 2.865 0.000
Tc P
1 2
Direct
0.000 0.000 0.000 Tc
0.250 0.250 0.250 P
0.750 0.750 0.750 P
```



# TcP

TcP after structural relaxation (PBE, Alexandria via LeMat-Bulk).

Computed properties:
* formation energy: -144 meV/atom
* mass density: 5.002 g/cm³
* SG: Fddd
* offset from the most stable computed form: 0.425 eV/atom

```
TcP
1.0
0.000 4.256 5.175
3.888 0.000 5.175
3.888 4.256 0.000
Tc P
4 4
Direct
0.012 0.012 0.738 Tc
0.262 0.262 0.988 Tc
0.738 0.738 0.012 Tc
0.988 0.988 0.262 Tc
0.092 0.658 0.092 P
0.342 0.908 0.342 P
0.658 0.092 0.658 P
0.908 0.342 0.908 P
```



# TcP

TcP after structural relaxation (PBE, Alexandria via LeMat-Bulk).

Computed properties:
* formation energy: -259 meV/atom
* mass density: 6.977 g/cm³
* SG: Amm2
* offset from the most stable computed form: 0.310 eV/atom

```
TcP
1.0
3.822 0.000 0.000
0.000 4.306 2.797
0.000 -4.306 2.797
Tc P
3 3
Direct
0.000 0.000 0.000 Tc
0.500 0.308 0.817 Tc
0.500 0.817 0.308 Tc
0.000 0.137 0.488 P
0.000 0.488 0.137 P
0.500 0.759 0.759 P
```



# TcP

TcP after structural relaxation (PBE, Alexandria via LeMat-Bulk).

Computed properties:
* formation energy: -35 meV/atom
* mass density: 5.839 g/cm³
* SG: F-43m
* offset from the most stable computed form: 0.533 eV/atom

```
TcP
1.0
0.000 2.637 2.637
2.637 0.000 2.637
2.637 2.637 0.000
Tc P
1 1
Direct
0.000 0.000 0.000 Tc
0.250 0.250 0.250 P
```



# Tc3P2

Tc3P2 after structural relaxation (PBE, Alexandria via LeMat-Bulk).

Computed properties:
* formation energy: -263 meV/atom
* mass density: 8.316 g/cm³
* SG: Fdd2
* offset from the most stable computed form: 0.250 eV/atom

```
Tc3P2
1.0
0.000 5.419 2.474
5.302 0.000 2.474
5.302 5.419 0.000
Tc P
6 4
Direct
0.000 0.000 0.000 Tc
0.250 0.250 0.250 Tc
0.486 0.495 0.695 Tc
0.495 0.486 0.324 Tc
0.555 0.926 0.764 Tc
0.926 0.555 0.755 Tc
0.035 0.557 0.045 P
0.205 0.887 0.215 P
0.557 0.035 0.363 P
0.887 0.205 0.693 P
```



# TcP2

TcP2 after structural relaxation (PBE, Alexandria via LeMat-Bulk).

Computed properties:
* formation energy: -169 meV/atom
* mass density: 6.166 g/cm³
* SG: I4_1/amd
* offset from the most stable computed form: 0.222 eV/atom

```
TcP2
1.0
-1.465 1.465 10.032
1.465 -1.465 10.032
1.465 1.465 -10.032
Tc P
2 4
Direct
0.375 0.625 0.750 Tc
0.625 0.375 0.250 Tc
0.053 0.803 0.250 P
0.197 0.947 0.250 P
0.803 0.053 0.750 P
0.947 0.197 0.750 P
```



# Tc5P2

Tc5P2 after structural relaxation (PBE, Alexandria via LeMat-Bulk).

Computed properties:
* formation energy: -297 meV/atom
* mass density: 9.330 g/cm³
* SG: C2/c

```
Tc5P2
1.0
6.467 -2.812 0.000
6.467 2.812 0.000
-0.623 0.000 5.402
Tc P
10 4
Direct
0.042 0.958 0.750 Tc
0.164 0.290 0.302 Tc
0.273 0.535 0.030 Tc
0.290 0.164 0.802 Tc
0.465 0.727 0.470 Tc
0.535 0.273 0.530 Tc
0.710 0.836 0.198 Tc
0.727 0.465 0.970 Tc
0.836 0.710 0.698 Tc
0.958 0.042 0.250 Tc
0.119 0.659 0.442 P
0.341 0.881 0.058 P
0.659 0.119 0.942 P
0.881 0.341 0.558 P
```



# TcP4

TcP4 after structural relaxation (PBE, Alexandria via LeMat-Bulk).

Computed properties:
* formation energy: 552 meV/atom
* mass density: 5.072 g/cm³
* SG: I4/mmm
* offset from the most stable computed form: 0.962 eV/atom

```
TcP4
1.0
-2.279 2.279 3.497
2.279 -2.279 3.497
2.279 2.279 -3.497
Tc P
1 4
Direct
0.000 0.000 0.000 Tc
0.250 0.750 0.500 P
0.339 0.339 0.000 P
0.661 0.661 0.000 P
0.750 0.250 0.500 P
```



# TcP

TcP after structural relaxation (PBE, Alexandria via LeMat-Bulk).

Computed properties:
* formation energy: -356 meV/atom
* mass density: 7.202 g/cm³
* SG: Pmmn
* offset from the most stable computed form: 0.213 eV/atom

```
TcP
1.0
2.962 0.000 0.000
0.000 10.904 0.000
0.000 0.000 5.525
Tc P
6 6
Direct
0.250 0.116 0.004 Tc
0.250 0.384 0.004 Tc
0.250 0.750 0.678 Tc
0.750 0.250 0.322 Tc
0.750 0.616 0.996 Tc
0.750 0.884 0.996 Tc
0.250 0.250 0.664 P
0.250 0.532 0.688 P
0.250 0.968 0.688 P
0.750 0.032 0.312 P
0.750 0.468 0.312 P
0.750 0.750 0.336 P
```



# Tc3P2

Tc3P2 after structural relaxation (PBE, Alexandria via LeMat-Bulk).

Computed properties:
* formation energy: -260 meV/atom
* mass density: 8.161 g/cm³
* SG: P-3m1
* offset from the most stable computed form: 0.253 eV/atom

```
Tc3P2
1.0
3.900 0.000 0.000
-1.950 3.378 0.000
0.000 0.000 5.498
Tc P
3 2
Direct
0.000 0.000 0.000 Tc
0.333 0.667 0.339 Tc
0.667 0.333 0.661 Tc
0.333 0.667 0.779 P
0.667 0.333 0.221 P
```



# TcP

TcP after structural relaxation (PBE, Alexandria via LeMat-Bulk).

Computed properties:
* formation energy: -110 meV/atom
* mass density: 5.112 g/cm³
* SG: P4/m
* offset from the most stable computed form: 0.459 eV/atom

```
TcP
1.0
8.990 0.000 0.000
0.000 8.990 0.000
0.000 0.000 4.147
Tc P
8 8
Direct
0.079 0.642 0.000 Tc
0.165 0.302 0.500 Tc
0.302 0.835 0.500 Tc
0.358 0.079 0.000 Tc
0.642 0.921 0.000 Tc
0.698 0.165 0.500 Tc
0.835 0.698 0.500 Tc
0.921 0.358 0.000 Tc
0.073 0.754 0.500 P
0.189 0.413 0.000 P
0.246 0.073 0.500 P
0.413 0.811 0.000 P
0.587 0.189 0.000 P
0.754 0.927 0.500 P
0.811 0.587 0.000 P
0.927 0.246 0.500 P
```



# TcP2

TcP2 after structural relaxation (PBE, Alexandria via LeMat-Bulk).

Computed properties:
* formation energy: 360 meV/atom
* mass density: 6.347 g/cm³
* SG: P6_3/mmc
* offset from the most stable computed form: 0.752 eV/atom

```
TcP2
1.0
4.272 0.000 0.000
-2.136 3.699 0.000
0.000 0.000 5.296
Tc P
2 4
Direct
0.333 0.667 0.250 Tc
0.667 0.333 0.750 Tc
0.000 0.000 0.000 P
0.000 0.000 0.500 P
0.333 0.667 0.750 P
0.667 0.333 0.250 P
```



# Tc5P

Tc5P after structural relaxation (PBE, Alexandria via LeMat-Bulk).

Computed properties:
* formation energy: 646 meV/atom
* mass density: 9.376 g/cm³
* SG: F-43m
* offset from the most stable computed form: 0.755 eV/atom

```
Tc5P
1.0
0.000 3.586 3.586
3.586 0.000 3.586
3.586 3.586 0.000
Tc P
5 1
Direct
0.000 0.000 0.000 Tc
0.127 0.624 0.624 Tc
0.624 0.127 0.624 Tc
0.624 0.624 0.127 Tc
0.624 0.624 0.624 Tc
0.250 0.250 0.250 P
```



# TcP2

TcP2 after structural relaxation (PBE, Alexandria via LeMat-Bulk).

Computed properties:
* formation energy: 109 meV/atom
* mass density: 5.367 g/cm³
* SG: Pa-3
* offset from the most stable computed form: 0.501 eV/atom

```
TcP2
1.0
5.828 0.000 0.000
0.000 5.828 0.000
0.000 0.000 5.828
Tc P
4 8
Direct
0.000 0.000 0.000 Tc
0.000 0.500 0.500 Tc
0.500 0.000 0.500 Tc
0.500 0.500 0.000 Tc
0.111 0.611 0.889 P
0.111 0.889 0.389 P
0.389 0.111 0.889 P
0.389 0.389 0.389 P
0.611 0.611 0.611 P
0.611 0.889 0.111 P
0.889 0.111 0.611 P
0.889 0.389 0.111 P
```



Final energy values (in eV/cell) by entry order: -65.1; -32.2; -272.5; -97.6; -64.5; -33.3; -21.2; -64.3; -48.9; -15.8; -86.5; -43.4; -129.5; -29.2; -98.9; -43.2; -128.0; -40.2; -53.4; -83.4.